[1]
Below is LaZnRhO2 after structural relaxation, with properties calculated at the PBE-GGA level.

Cell: 4.242 4.242 5.024 Å, 90.00 90.00 90.00°
Fractional positions:
La (0.000, 0.000, 0.000)
Zn (0.500, 0.500, 0.000)
Rh (0.000, 0.000, 0.500)
O (0.000, 0.500, 0.500)
O (0.500, 0.000, 0.500)

Values from the calculation:
**Formation energy (no corrections)**: -0.287 eV per atom

=====

[2]
Below is La2ZnRhO6 after structural relaxation, with properties calculated at the PBE-GGA level.

Cell: 5.590 5.796 9.710 Å, 90.00 125.07 90.00°
Fractional positions:
La (0.237, 0.058, 0.251)
La (0.237, 0.442, 0.751)
La (0.763, 0.558, 0.249)
La (0.763, 0.942, 0.749)
Zn (0.500, 0.000, 0.000)
Zn (0.500, 0.500, 0.500)
Rh (0.000, 0.000, 0.500)
Rh (0.000, 0.500, 0.000)
O (0.142, 0.209, 0.949)
O (0.142, 0.291, 0.449)
O (0.246, 0.698, 0.951)
O (0.246, 0.802, 0.451)
O (0.341, 0.028, 0.746)
O (0.341, 0.472, 0.246)
O (0.659, 0.528, 0.754)
O (0.659, 0.972, 0.254)
O (0.754, 0.198, 0.549)
O (0.754, 0.302, 0.049)
O (0.858, 0.709, 0.551)
O (0.858, 0.791, 0.051)

Values from the calculation:
**Formation energy (no corrections)**: -2.244 eV per atom

=====

[3]
Below is La4Ru6O19 after structural relaxation, with properties calculated at the PBE-GGA level.

Cell: 7.883 7.883 7.883 Å, 109.47 109.47 109.47°
Fractional positions:
La (0.000, 0.000, 0.318)
La (0.000, 0.318, 0.000)
La (0.318, 0.000, 0.000)
La (0.682, 0.682, 0.682)
Ru (0.138, 0.638, 0.500)
Ru (0.362, 0.500, 0.862)
Ru (0.500, 0.138, 0.638)
Ru (0.500, 0.862, 0.362)
Ru (0.638, 0.500, 0.138)
Ru (0.862, 0.362, 0.500)
O (0.000, 0.000, 0.000)
O (0.000, 0.326, 0.326)
O (0.000, 0.674, 0.674)
O (0.059, 0.331, 0.703)
O (0.272, 0.941, 0.645)
O (0.297, 0.627, 0.355)
O (0.326, 0.000, 0.326)
O (0.326, 0.326, 0.000)
O (0.331, 0.703, 0.059)
O (0.355, 0.297, 0.627)
O (0.373, 0.669, 0.728)
O (0.627, 0.355, 0.297)
O (0.645, 0.272, 0.941)
O (0.669, 0.728, 0.373)
O (0.674, 0.000, 0.674)
O (0.674, 0.674, 0.000)
O (0.703, 0.059, 0.331)
O (0.728, 0.373, 0.669)
O (0.941, 0.645, 0.272)

Values from the calculation:
**Formation energy (no corrections)**: -1.860 eV per atom

=====

[4]
Below is La2RuO5 after structural relaxation, with properties calculated at the PBE-GGA level.

Cell: 9.311 5.912 7.932 Å, 90.00 100.41 90.00°
Fractional positions:
La (0.055, 0.239, 0.378)
La (0.055, 0.261, 0.878)
La (0.323, 0.750, 0.465)
La (0.323, 0.750, 0.965)
La (0.677, 0.250, 0.035)
La (0.677, 0.250, 0.535)
La (0.945, 0.739, 0.122)
La (0.945, 0.761, 0.622)
Ru (0.355, 0.245, 0.212)
Ru (0.355, 0.255, 0.712)
Ru (0.645, 0.745, 0.288)
Ru (0.645, 0.755, 0.788)
O (0.074, 0.660, 0.898)
O (0.074, 0.840, 0.398)
O (0.184, 0.041, 0.124)
O (0.184, 0.459, 0.624)
O (0.228, 0.512, 0.227)
O (0.228, 0.988, 0.727)
O (0.352, 0.162, 0.462)
O (0.352, 0.338, 0.962)
O (0.473, 0.547, 0.704)
O (0.473, 0.953, 0.204)
O (0.527, 0.047, 0.796)
O (0.527, 0.453, 0.296)
O (0.648, 0.662, 0.038)
O (0.648, 0.838, 0.538)
O (0.772, 0.012, 0.273)
O (0.772, 0.488, 0.773)
O (0.816, 0.541, 0.376)
O (0.816, 0.959, 0.876)
O (0.926, 0.160, 0.602)
O (0.926, 0.340, 0.102)

Values from the calculation:
**Formation energy (no corrections)**: -2.522 eV per atom

=====

no.,calculated density (kg/m3),energy (eV/atom)
1,6230,-4.9804
2,6992,-7.0668
3,6457,-7.7069
4,7098,-8.0123